The following is a DFT calculation (PBE) of crystalline AlHS2 at its relaxed geometry.

Geometry as CIF:
```
data_AlHS2
_space_group_name_H-M_alt 'C 1 m 1'
_space_group_IT_number 8
_space_group_name_Hall 'C -2y'
_cell_length_a 6.336
_cell_length_b 3.693
_cell_length_c 7.461
_cell_angle_alpha 90.00
_cell_angle_beta 106.65
_cell_angle_gamma 90.00
loop_
_atom_site_label
_atom_site_type_symbol
_atom_site_fract_x
_atom_site_fract_y
_atom_site_fract_z
_atom_site_occupancy
Al1 Al 0.000 0.000 0.000 1
H1 H 0.111 0.000 0.683 1
S1 S 0.378 0.000 0.137 1
S2 S 0.400 0.500 0.692 1
```

Results
Total magnetization, μB per cell: 0.000
Fermi-level density of states, states/eV/f.u.: 0.000
E_tot, eV per atom: -4.52
ΔE to the lowest computed polymorph, eV/atom: 0.015